No. 1
# La6DyGa2 (GGA-PBE, optimized geometry)
# **Crystal system**: monoclinic
# **DOS(E_F)**: 23.73 states/eV per cell
# **Energy of formation from the pure elements**: -0.249 eV/atom
data_La6DyGa2
_chemical_formula_sum 'La12 Dy2 Ga4'
_symmetry_space_group_name_H-M 'C 1 2/m 1'
_symmetry_Int_Tables_number 12
_symmetry_space_group_name_Hall '-C 2y'
_cell_length_a 13.121
_cell_length_b 3.825
_cell_length_c 12.073
_cell_angle_alpha 90.00
_cell_angle_beta 109.01
_cell_angle_gamma 90.00
loop_
_atom_site_label
_atom_site_type_symbol
_atom_site_fract_x
_atom_site_fract_y
_atom_site_fract_z
La1 La 0.034 0.000 0.326
La2 La 0.183 0.500 0.877
La3 La 0.194 0.500 0.602
Dy1 Dy 0.000 0.000 0.000
Ga1 Ga 0.144 0.500 0.183

No. 2
# LiAcHg4 (GGA-PBE, optimized geometry)
# **Crystal system**: cubic
# **DOS(E_F)**: 18.63 states/eV per cell
# **ΔE to the lowest computed polymorph**: 0.0 meV per atom
# **Energy of formation from the pure elements**: -0.219 eV/atom
data_LiAcHg4
_chemical_formula_sum 'Li4 Ac4 Hg16'
_symmetry_space_group_name_H-M 'F -4 3 m'
_symmetry_Int_Tables_number 216
_symmetry_space_group_name_Hall 'F -4 2 3'
_cell_length_a 8.616
_cell_length_b 8.616
_cell_length_c 8.616
_cell_angle_alpha 90.00
_cell_angle_beta 90.00
_cell_angle_gamma 90.00
loop_
_atom_site_label
_atom_site_type_symbol
_atom_site_fract_x
_atom_site_fract_y
_atom_site_fract_z
Li1 Li 0.000 0.000 0.000
Ac1 Ac 0.250 0.250 0.250
Hg1 Hg 0.126 0.126 0.626

No. 3
# TiTeF2 (GGA-PBE, optimized geometry)
# **Crystal system**: trigonal
# **DOS(E_F)**: 9.62 states/eV per cell
# **ΔE to the lowest computed polymorph**: 0.0 meV per atom
data_TiTeF2
_chemical_formula_sum 'Ti3 Te3 F6'
_symmetry_space_group_name_H-M 'R -3 m'
_symmetry_Int_Tables_number 166
_symmetry_space_group_name_Hall '-R 3 2"'
_cell_length_a 3.2263
_cell_length_b 3.2263
_cell_length_c 28.4074
_cell_angle_alpha 90.00
_cell_angle_beta 90.00
_cell_angle_gamma 120.00
loop_
_atom_site_label
_atom_site_type_symbol
_atom_site_fract_x
_atom_site_fract_y
_atom_site_fract_z
Ti1 Ti 0.0000 0.0000 0.0000
Te1 Te 0.0000 0.0000 0.5000
F1 F 0.0000 0.0000 0.3692

No. 4
# TaCdFe2 (GGA-PBE, optimized geometry)
# **Crystal system**: trigonal
# **DOS(E_F)**: 11.72 states/eV per cell
# **Energy of formation from the pure elements**: 0.316 eV/atom
data_TaCdFe2
_chemical_formula_sum 'Ta3 Cd3 Fe6'
_symmetry_space_group_name_H-M 'R 3 m'
_symmetry_Int_Tables_number 160
_symmetry_space_group_name_Hall 'R 3 -2"'
_cell_length_a 2.8659
_cell_length_b 2.8659
_cell_length_c 26.6511
_cell_angle_alpha 90.00
_cell_angle_beta 90.00
_cell_angle_gamma 120.00
loop_
_atom_site_label
_atom_site_type_symbol
_atom_site_fract_x
_atom_site_fract_y
_atom_site_fract_z
Ta1 Ta 0.0000 0.0000 0.0000
Cd1 Cd 0.0000 0.0000 0.7661
Fe1 Fe 0.0000 0.0000 0.2532
Fe2 Fe 0.0000 0.0000 0.5202

No. 5
# RbLiTbCl5 (GGA-PBE, optimized geometry)
# **Crystal system**: monoclinic
# **DOS(E_F)**: 0.00 states/eV per cell
# **VASP energy**: -134.6 eV for the cell shown
data_RbLiTbCl5
_chemical_formula_sum 'Rb4 Li4 Tb4 Cl20'
_symmetry_space_group_name_H-M 'C 1 2/c 1'
_symmetry_Int_Tables_number 15
_symmetry_space_group_name_Hall '-C 2yc'
_cell_length_a 9.042
_cell_length_b 12.196
_cell_length_c 10.129
_cell_angle_alpha 90.00
_cell_angle_beta 113.75
_cell_angle_gamma 90.00
loop_
_atom_site_label
_atom_site_type_symbol
_atom_site_fract_x
_atom_site_fract_y
_atom_site_fract_z
Rb1 Rb 0.000 0.158 0.250
Li1 Li 0.000 0.190 0.750
Tb1 Tb 0.000 0.500 0.000
Cl1 Cl 0.000 0.428 0.250
Cl2 Cl 0.099 0.300 0.605
Cl3 Cl 0.196 0.065 0.918

No. 6
# Tb8YHo2 (GGA-PBE, optimized geometry)
# **Crystal system**: monoclinic
# **DOS(E_F)**: 30.75 states/eV per cell
# **ΔE to the lowest computed polymorph**: 33.5 meV per atom
# **Energy of formation from the pure elements**: 0.150 eV/atom
data_Tb8YHo2
_chemical_formula_sum 'Tb16 Y2 Ho4'
_symmetry_space_group_name_H-M 'C 1 2/m 1'
_symmetry_Int_Tables_number 12
_symmetry_space_group_name_Hall '-C 2y'
_cell_length_a 9.057
_cell_length_b 16.430
_cell_length_c 5.901
_cell_angle_alpha 90.00
_cell_angle_beta 125.61
_cell_angle_gamma 90.00
loop_
_atom_site_label
_atom_site_type_symbol
_atom_site_fract_x
_atom_site_fract_y
_atom_site_fract_z
Tb1 Tb 0.000 0.205 0.000
Tb2 Tb 0.062 0.500 0.791
Tb3 Tb 0.219 0.122 0.690
Y1 Y 0.000 0.000 0.000
Ho1 Ho 0.000 0.310 0.500